(1)
CaAc8Pt5 | Alexandria via LeMat-Bulk | PBE | relaxed; Fermi-level density of states = 10.3 states/eV/f.u.; space group = No. 12; formation energy from the elements = -852 meV per atom
1.0
11.3877 -2.2261 0.0000
11.3877 2.2261 0.0000
-2.4883 0.0000 10.5537
Ca Ac Pt
1 8 5
Cartesian
0.0000 0.0000 0.0000
0.0323 0.0000 6.9340
5.1324 0.0000 3.6135
7.4333 0.0000 0.0856
7.6481 0.0000 7.0026
12.6390 0.0000 3.5510
12.8539 0.0000 10.4681
15.1547 0.0000 6.9402
20.2549 0.0000 3.6197
2.5039 0.0000 5.1688
2.5612 0.0000 8.7624
10.1436 0.0000 5.2768
17.7259 0.0000 1.7913
17.7832 0.0000 5.3849

(2)
CaAc8Pt4 | Alexandria via LeMat-Bulk | PBE | relaxed; Fermi-level density of states = 13.5 states/eV/f.u.; space group = No. 8; formation energy from the elements = -728 meV per atom
1.0
10.7254 -2.2083 0.0000
10.7254 2.2083 0.0000
-9.4168 0.0000 10.9456
Ca Ac Pt
1 8 4
Cartesian
0.0000 0.0000 0.0000
-6.1512 0.0000 8.1860
-2.4225 0.0000 10.1088
0.9056 0.0000 7.2392
4.0762 0.0000 4.5341
7.9511 0.0000 6.4022
11.1244 0.0000 3.7023
14.4533 0.0000 0.8283
18.1810 0.0000 2.7526
-1.2086 0.0000 5.0274
5.5719 0.0000 1.8552
6.4589 0.0000 9.0818
13.2383 0.0000 5.9129

(3)
Ca2AcPt | Alexandria via LeMat-Bulk | PBE | relaxed; Fermi-level density of states = 3.9 states/eV/f.u.; E above lowest polymorph = 0.02 eV per formula unit; space group = No. 62; formation energy from the elements = -604 meV per atom
1.0
7.8052 0.0000 0.0000
0.0000 10.1564 0.0000
0.0000 0.0000 6.6164
Ca Ac Pt
8 4 4
Cartesian
1.3545 0.6939 1.0654
1.3545 4.3844 1.0654
2.5481 5.7721 4.3736
2.5481 9.4626 4.3736
5.2571 0.6939 2.2428
5.2571 4.3844 2.2428
6.4507 5.7721 5.5510
6.4507 9.4626 5.5510
0.3217 2.5391 4.2503
3.5809 7.6173 0.9421
4.2243 2.5391 5.6742
7.4835 7.6173 2.3660
0.9249 7.6173 6.2076
2.9777 2.5391 2.8994
4.8275 7.6173 3.7169
6.8803 2.5391 0.4088

(4)
CaAcPt | Alexandria via LeMat-Bulk | PBE | relaxed; Fermi-level density of states = 2.7 states/eV/f.u.; E above lowest polymorph = 0.28 eV per formula unit; space group = No. 156; formation energy from the elements = -740 meV per atom
1.0
4.3498 0.0000 0.0000
-2.1749 3.7670 0.0000
0.0000 0.0000 6.7012
Ca Ac Pt
1 1 1
Cartesian
0.0000 0.0000 0.0000
2.1749 1.2557 3.5820
0.0000 2.5114 5.1655

(5)
CaAc3Pt3 | Alexandria via LeMat-Bulk | PBE | relaxed; Fermi-level density of states = 4.7 states/eV/f.u.; space group = No. 148; formation energy from the elements = -992 meV per atom
1.0
4.5671 2.6368 6.0365
-4.5671 2.6368 6.0365
0.0000 -5.2736 6.0365
Ca Ac Pt
2 6 6
Cartesian
0.0000 0.0000 3.1701
0.0000 0.0000 14.9393
-2.5171 0.1366 7.3255
-1.3769 -2.1116 10.7839
1.1402 -2.2482 7.3255
-1.1402 2.2482 10.7839
1.3769 2.1116 7.3255
2.5171 -0.1366 10.7839
-1.8029 -2.9562 7.8092
-3.4616 0.0832 10.3002
-1.6587 3.0394 7.8092
1.6587 -3.0394 10.3002
3.4616 -0.0832 7.8092
1.8029 2.9562 10.3002

(6)
CaAcPt2 | Alexandria via LeMat-Bulk | PBE | relaxed; Fermi-level density of states = 1.5 states/eV/f.u.; E above lowest polymorph = 0.00 eV per formula unit; space group = No. 38; formation energy from the elements = -1059 meV per atom
1.0
4.5099 0.0000 0.0000
0.0000 4.1013 0.0000
0.0000 0.0000 11.1202
Ca Ac Pt
2 2 4
Cartesian
0.0000 0.0000 0.0000
0.0000 2.0506 5.5601
2.2549 0.0000 3.0937
2.2549 2.0506 8.6538
0.0000 0.0000 7.9957
0.0000 2.0506 2.4356
2.2549 0.0000 6.1661
2.2549 2.0506 0.6060

- formation energy from the elements of number 1 (CaAc8Pt5)?
  -852 meV per atom

- Among the records above, which one has the lowest formation energy from the elements?
  CaAcPt2

- Number 4 is which compound?
  CaAcPt